An optimized crystal structure of Ac2SiNi6Rh, computed with GGA-PBE.

Calculated values
Energy relative to the elements, uncorrected: -0.390 eV per atom
Size of the total moment: 0.000 μB/atom

a b c (Å): 11.436 4.972 8.205
angles (deg): 90.00 131.49 90.00
Space group C2/m (No. 12)
Unique sites:
Ac (0.236, 0.000, 0.187)
Si (0.000, 0.000, 0.500)
Ni (0.025, 0.252, 0.291)
Ni (0.247, 0.000, 0.587)
Rh (0.000, 0.500, 0.000)



An optimized crystal structure of Ac2Si4Ni3Rh, computed with GGA-PBE.

Calculated values
Energy relative to the elements, uncorrected: -0.737 eV per atom
Size of the total moment: 0.000 μB/atom

a b c (Å): 4.168 4.168 10.135
angles (deg): 90.00 90.00 90.00
Space group P-4m2 (No. 115)
Unique sites:
Ac (0.000, 0.500, 0.243)
Si (0.000, 0.000, 0.000)
Si (0.000, 0.500, 0.623)
Si (0.500, 0.500, 0.000)
Ni (0.000, 0.500, 0.883)
Ni (0.500, 0.500, 0.500)
Rh (0.000, 0.000, 0.500)



An optimized crystal structure of AcSmNiRh, computed with GGA-PBE.

Calculated values
Formation energy from the elements: -2.01 eV/f.u.
Size of the total moment: 0.000 μB/atom

a b c (Å): 4.226 4.024 11.238
angles (deg): 90.00 90.00 90.00
Space group Amm2 (No. 38)
Unique sites:
Ac (0.000, 0.000, 0.000)
Sm (0.500, 0.000, 0.724)
Ni (0.500, 0.000, 0.431)
Rh (0.000, 0.000, 0.275)



An optimized crystal structure of AcSmNiRh, computed with GGA-PBE.

Calculated values
Formation energy from the elements: -1.60 eV/f.u.
Size of the total moment: 0.000 μB/atom

a b c (Å): 7.184 7.184 7.184
angles (deg): 90.00 90.00 90.00
Space group F-43m (No. 216)
Unique sites:
Ac (0.000, 0.000, 0.000)
Sm (0.000, 0.000, 0.500)
Ni (0.250, 0.250, 0.750)
Rh (0.250, 0.250, 0.250)



An optimized crystal structure of Ac2Ni3Sn4Rh, computed with GGA-PBE.

Calculated values
Formation energy from the elements: -5.74 eV/f.u.
Size of the total moment: 0.000 μB/atom

a b c (Å): 4.589 4.589 10.472
angles (deg): 90.00 90.00 90.00
Space group P-4m2 (No. 115)
Unique sites:
Ac (0.000, 0.500, 0.244)
Ni (0.000, 0.000, 0.000)
Ni (0.000, 0.500, 0.626)
Sn (0.000, 0.000, 0.500)
Sn (0.000, 0.500, 0.874)
Sn (0.500, 0.500, 0.500)
Rh (0.500, 0.500, 0.000)



An optimized crystal structure of Ac2NiSn3Rh4, computed with GGA-PBE.

Calculated values
Formation energy from the elements: -6.09 eV/f.u.
Size of the total moment: 0.016 μB/atom

a b c (Å): 4.463 4.463 11.036
angles (deg): 90.00 90.00 90.00
Space group P-4m2 (No. 115)
Unique sites:
Ac (0.000, 0.500, 0.240)
Ni (0.500, 0.500, 0.000)
Sn (0.000, 0.000, 0.000)
Sn (0.000, 0.500, 0.628)
Rh (0.000, 0.000, 0.500)
Rh (0.000, 0.500, 0.870)
Rh (0.500, 0.500, 0.500)